No. 1
The following is a DFT calculation (GGA-PBE) of a relaxed structure of AgTe.

Cell and atoms, written as POSCAR:
```
AgTe
1.0
20.130 0.000 0.000
0.000 8.963 0.000
0.000 0.000 4.818
Ag Te
16 16
direct
0.057 0.250 0.212
0.071 0.502 0.596
0.071 0.998 0.596
0.161 0.750 0.722
0.339 0.250 0.222
0.429 0.002 0.096
0.429 0.498 0.096
0.443 0.750 0.712
0.557 0.250 0.288
0.571 0.502 0.904
0.571 0.998 0.904
0.661 0.750 0.778
0.839 0.250 0.278
0.929 0.002 0.404
0.929 0.498 0.404
0.943 0.750 0.788
0.021 0.750 0.296
0.157 0.020 0.060
0.157 0.480 0.060
0.240 0.250 0.811
0.260 0.750 0.311
0.343 0.520 0.560
0.343 0.980 0.560
0.479 0.250 0.796
0.521 0.750 0.204
0.657 0.020 0.440
0.657 0.480 0.440
0.740 0.250 0.689
0.760 0.750 0.189
0.843 0.520 0.940
0.843 0.980 0.940
0.979 0.250 0.704
```

Output
The total moment is 0.00 μB per cell. The formation energy (no corrections) is -0.04 eV/atom.

---

No. 2
The following is a DFT calculation (GGA-PBE) of a relaxed structure of Ag2Te.

Cell and atoms, written as POSCAR:
```
Ag2Te
1.0
6.071 0.000 0.000
0.000 6.071 0.000
0.000 0.000 4.768
Ag Te
4 2
direct
0.178 0.178 0.000
0.322 0.678 0.500
0.678 0.322 0.500
0.822 0.822 0.000
0.000 0.000 0.500
0.500 0.500 0.000
```

Output
The total moment is 0.00 μB per cell. The formation energy (no corrections) is 0.07 eV/atom.

---

No. 3
The following is a DFT calculation (GGA-PBE) of a relaxed structure of AgTe4.

Cell and atoms, written as POSCAR:
```
AgTe4
1.0
-3.404 3.404 3.404
3.404 -3.404 3.404
3.404 3.404 -3.404
Ag Te
1 4
direct
0.000 0.000 0.000
0.000 0.000 0.500
0.000 0.500 0.000
0.500 0.000 0.000
0.500 0.500 0.500
```

Output
The total moment is 0.00 μB per cell. The formation energy (no corrections) is 0.21 eV/atom. As for the energy above the most stable polymorph in this dataset: 119 meV/atom.